# 1
{"formula": "RbIn2Au2", "functional": "PBE", "state": "relaxed", "dft_energy_ev_per_atom": -2.851, "spacegroup": "P-1", "vol_a3_per_cell": 298.86, "lattice": [[6.791, 0.000, 0.000], [2.785, 6.329, 0.000], [3.310, -0.834, 6.954]], "species": ["Rb", "Rb", "In", "In", "In", "In", "Au", "Au", "Au", "Au"], "frac_coords": [[0.104, 0.257, 0.278], [0.896, 0.743, 0.722], [0.254, 0.121, 0.743], [0.480, 0.625, 0.197], [0.520, 0.375, 0.803], [0.746, 0.879, 0.257], [0.211, 0.795, 0.991], [0.495, 0.700, 0.557], [0.505, 0.300, 0.443], [0.789, 0.205, 0.009]]}

---

# 2
{"formula": "RbIn6Au12", "functional": "PBE", "state": "relaxed", "dft_energy_ev_per_atom": -3.129, "spacegroup": "R-3", "vol_a3_per_cell": 417.63, "lattice": [[6.592, 3.806, 2.774], [-6.592, 3.806, 2.774], [0.000, -7.612, 2.774]], "species": ["Rb", "In", "In", "In", "In", "In", "In", "Au", "Au", "Au", "Au", "Au", "Au", "Au", "Au", "Au", "Au", "Au", "Au"], "frac_coords": [[0.000, 0.000, 0.000], [0.012, 0.211, 0.490], [0.211, 0.490, 0.012], [0.490, 0.012, 0.211], [0.510, 0.988, 0.789], [0.789, 0.510, 0.988], [0.988, 0.789, 0.510], [0.201, 0.696, 0.790], [0.210, 0.799, 0.304], [0.220, 0.481, 0.382], [0.304, 0.210, 0.799], [0.382, 0.220, 0.481], [0.481, 0.382, 0.220], [0.519, 0.618, 0.780], [0.618, 0.780, 0.519], [0.696, 0.790, 0.201], [0.780, 0.519, 0.618], [0.790, 0.201, 0.696], [0.799, 0.304, 0.210]]}

---

# 3
{"formula": "Rb3In2Au3", "functional": "PBE", "state": "relaxed", "dft_energy_ev_per_atom": -2.541, "spacegroup": "Cmcm", "vol_a3_per_cell": 516.93, "lattice": [[2.510, -6.334, 0.000], [2.510, 6.334, 0.000], [0.000, 0.000, 16.255]], "species": ["Rb", "Rb", "Rb", "Rb", "Rb", "Rb", "In", "In", "In", "In", "Au", "Au", "Au", "Au", "Au", "Au"], "frac_coords": [[0.079, 0.921, 0.621], [0.079, 0.921, 0.879], [0.388, 0.612, 0.750], [0.612, 0.388, 0.250], [0.921, 0.079, 0.121], [0.921, 0.079, 0.379], [0.212, 0.788, 0.081], [0.212, 0.788, 0.419], [0.788, 0.212, 0.581], [0.788, 0.212, 0.919], [0.292, 0.708, 0.250], [0.390, 0.610, 0.528], [0.390, 0.610, 0.972], [0.610, 0.390, 0.028], [0.610, 0.390, 0.472], [0.708, 0.292, 0.750]]}

---

# 4
{"formula": "Rb2InAu2", "functional": "PBE", "state": "relaxed", "dft_energy_ev_per_atom": -2.467, "spacegroup": "Immm", "vol_a3_per_cell": 178.25, "lattice": [[-2.387, 3.522, 5.301], [2.387, -3.522, 5.301], [2.387, 3.522, -5.301]], "species": ["Rb", "Rb", "In", "Au", "Au"], "frac_coords": [[0.187, 0.187, 0.000], [0.813, 0.813, 0.000], [0.500, 0.000, 0.500], [0.279, 0.500, 0.779], [0.721, 0.500, 0.221]]}

---

# 5
{"formula": "RbIn2RhAu", "functional": "PBE", "state": "relaxed", "dft_energy_ev_per_atom": -3.575, "spacegroup": "P4/mmm", "vol_a3_per_cell": 145.31, "lattice": [[5.136, 0.000, 0.000], [0.000, 5.136, 0.000], [0.000, 0.000, 5.509]], "species": ["Rb", "In", "In", "Rh", "Au"], "frac_coords": [[0.000, 0.000, 0.000], [0.000, 0.500, 0.500], [0.500, 0.000, 0.500], [0.500, 0.500, 0.500], [0.500, 0.500, 0.000]]}

---

# 6
{"formula": "RbInSbAu3", "functional": "PBE", "state": "relaxed", "dft_energy_ev_per_atom": -3.134, "spacegroup": "Cmcm", "formation_energy_uncorrected_ev_per_fu": -1.14, "vol_a3_per_cell": 379.63, "lattice": [[3.535, -7.416, 0.000], [3.535, 7.416, 0.000], [0.000, 0.000, 7.240]], "species": ["Rb", "Rb", "In", "In", "Sb", "Sb", "Au", "Au", "Au", "Au", "Au", "Au"], "frac_coords": [[0.244, 0.756, 0.750], [0.756, 0.244, 0.250], [0.461, 0.539, 0.250], [0.539, 0.461, 0.750], [0.099, 0.901, 0.250], [0.901, 0.099, 0.750], [0.212, 0.212, 0.000], [0.212, 0.212, 0.500], [0.279, 0.721, 0.250], [0.721, 0.279, 0.750], [0.788, 0.788, 0.000], [0.788, 0.788, 0.500]]}

---

# 7
{"formula": "Rb2InSiAu", "functional": "PBE", "state": "relaxed", "dft_energy_ev_per_atom": -2.497, "spacegroup": "P4/mmm", "formation_energy_uncorrected_ev_per_fu": 0.89, "vol_a3_per_cell": 213.74, "lattice": [[6.815, 0.000, 0.000], [0.000, 6.815, 0.000], [0.000, 0.000, 4.603]], "species": ["Rb", "Rb", "In", "Si", "Au"], "frac_coords": [[0.000, 0.500, 0.000], [0.500, 0.000, 0.000], [0.000, 0.000, 0.500], [0.500, 0.500, 0.000], [0.500, 0.500, 0.500]]}

---

# 8
{"formula": "Rb2InSiAu6", "functional": "PBE", "state": "relaxed", "dft_energy_ev_per_atom": -3.220, "spacegroup": "P-1", "formation_energy_uncorrected_ev_per_fu": -2.43, "vol_a3_per_cell": 260.90, "lattice": [[6.901, 0.000, 0.000], [3.439, 6.011, 0.000], [3.444, 2.016, 6.289]], "species": ["Rb", "Rb", "In", "Si", "Au", "Au", "Au", "Au", "Au", "Au"], "frac_coords": [[0.208, 0.207, 0.379], [0.792, 0.793, 0.621], [0.500, 0.500, 0.500], [0.000, 0.000, 0.000], [0.241, 0.242, 0.859], [0.242, 0.660, 0.857], [0.340, 0.759, 0.143], [0.660, 0.241, 0.857], [0.758, 0.340, 0.143], [0.759, 0.758, 0.141]]}

---

# 9
{"formula": "RbInSn2Au", "functional": "PBE", "state": "relaxed", "dft_energy_ev_per_atom": -3.187, "spacegroup": "I-4m2", "vol_a3_per_cell": 150.59, "lattice": [[-2.487, 2.487, 6.085], [2.487, -2.487, 6.085], [2.487, 2.487, -6.085]], "species": ["Rb", "In", "Sn", "Sn", "Au"], "frac_coords": [[0.000, 0.000, 0.000], [0.750, 0.250, 0.500], [0.378, 0.378, 0.000], [0.622, 0.622, 0.000], [0.250, 0.750, 0.500]]}

---

# 10
{"formula": "Rb2In6SnAu", "functional": "PBE", "state": "relaxed", "dft_energy_ev_per_atom": -2.623, "spacegroup": "R-3m", "vol_a3_per_cell": 724.90, "lattice": [[4.068, 2.349, 12.642], [-4.068, 2.349, 12.642], [0.000, -4.698, 12.642]], "species": ["Rb", "Rb", "Rb", "Rb", "In", "In", "In", "In", "In", "In", "In", "In", "In", "In", "In", "In", "Sn", "Sn", "Au", "Au"], "frac_coords": [[0.151, 0.151, 0.151], [0.285, 0.285, 0.285], [0.715, 0.715, 0.715], [0.849, 0.849, 0.849], [0.171, 0.581, 0.581], [0.188, 0.188, 0.800], [0.188, 0.800, 0.188], [0.200, 0.812, 0.812], [0.419, 0.419, 0.829], [0.419, 0.829, 0.419], [0.581, 0.171, 0.581], [0.581, 0.581, 0.171], [0.800, 0.188, 0.188], [0.812, 0.200, 0.812], [0.812, 0.812, 0.200], [0.829, 0.419, 0.419], [0.376, 0.376, 0.376], [0.624, 0.624, 0.624], [0.000, 0.000, 0.000], [0.500, 0.500, 0.500]]}

---

# 11
{"formula": "Rb2In4Sn3Au", "functional": "PBE", "state": "relaxed", "dft_energy_ev_per_atom": -2.987, "spacegroup": "P-4m2", "vol_a3_per_cell": 319.85, "lattice": [[5.184, 0.000, 0.000], [0.000, 5.184, 0.000], [0.000, 0.000, 11.900]], "species": ["Rb", "Rb", "In", "In", "In", "In", "Sn", "Sn", "Sn", "Au"], "frac_coords": [[0.000, 0.500, 0.243], [0.500, 0.000, 0.757], [0.000, 0.000, 0.500], [0.000, 0.500, 0.884], [0.500, 0.000, 0.116], [0.500, 0.500, 0.500], [0.000, 0.000, 0.000], [0.000, 0.500, 0.634], [0.500, 0.000, 0.366], [0.500, 0.500, 0.000]]}

---

# 12
{"formula": "RbInSnAu2", "functional": "PBE", "state": "relaxed", "dft_energy_ev_per_atom": -3.103, "spacegroup": "I-4m2", "vol_a3_per_cell": 140.43, "lattice": [[-2.458, 2.458, 5.811], [2.458, -2.458, 5.811], [2.458, 2.458, -5.811]], "species": ["Rb", "In", "Sn", "Au", "Au"], "frac_coords": [[0.000, 0.000, 0.000], [0.750, 0.250, 0.500], [0.250, 0.750, 0.500], [0.376, 0.376, 0.000], [0.624, 0.624, 0.000]]}

---

# 13
{"formula": "Rb2InSnAu6", "functional": "PBE", "state": "relaxed", "dft_energy_ev_per_atom": -3.014, "spacegroup": "C2/m", "vol_a3_per_cell": 304.56, "lattice": [[5.289, -5.434, 0.000], [5.289, 5.434, 0.000], [-5.206, 0.000, 5.299]], "species": ["Rb", "Rb", "In", "Sn", "Au", "Au", "Au", "Au", "Au", "Au"], "frac_coords": [[0.207, 0.793, 0.000], [0.793, 0.207, 0.000], [0.000, 0.000, 0.500], [0.500, 0.500, 0.500], [0.250, 0.750, 0.500], [0.312, 0.312, 0.999], [0.313, 0.313, 0.627], [0.687, 0.687, 0.373], [0.688, 0.688, 0.001], [0.750, 0.250, 0.500]]}

---

# 14
{"formula": "RbIn2Sn2Au6", "functional": "PBE", "state": "relaxed", "dft_energy_ev_per_atom": -3.256, "spacegroup": "P-1", "vol_a3_per_cell": 287.49, "lattice": [[6.585, 0.000, 0.000], [-2.591, 6.187, 0.000], [-1.368, -0.601, 7.057]], "species": ["Rb", "In", "In", "Sn", "Sn", "Au", "Au", "Au", "Au", "Au", "Au"], "frac_coords": [[0.000, 0.000, 0.000], [0.075, 0.814, 0.485], [0.925, 0.186, 0.515], [0.401, 0.625, 0.170], [0.599, 0.375, 0.830], [0.057, 0.512, 0.820], [0.354, 0.563, 0.571], [0.419, 0.933, 0.806], [0.581, 0.067, 0.194], [0.646, 0.437, 0.429], [0.943, 0.488, 0.180]]}

---

# 15
{"formula": "RbInTe2Au", "functional": "PBE", "state": "relaxed", "dft_energy_ev_per_atom": -3.100, "spacegroup": "Cmme", "formation_energy_uncorrected_ev_per_fu": -2.23, "vol_a3_per_cell": 374.68, "lattice": [[3.641, -7.544, 0.000], [3.641, 7.544, 0.000], [0.000, 0.000, 6.821]], "species": ["Rb", "Rb", "In", "In", "Te", "Te", "Te", "Te", "Au", "Au"], "frac_coords": [[0.250, 0.750, 0.768], [0.750, 0.250, 0.232], [0.250, 0.250, 0.500], [0.750, 0.750, 0.500], [0.126, 0.874, 0.263], [0.374, 0.626, 0.263], [0.626, 0.374, 0.737], [0.874, 0.126, 0.737], [0.000, 0.000, 0.000], [0.500, 0.500, 0.000]]}

---

# 16
{"formula": "RbTlInAu", "functional": "PBE", "state": "relaxed", "dft_energy_ev_per_atom": -2.506, "spacegroup": "R3m", "vol_a3_per_cell": 138.23, "lattice": [[2.427, 1.401, 6.776], [-2.427, 1.401, 6.776], [0.000, -2.802, 6.776]], "species": ["Rb", "Tl", "In", "Au"], "frac_coords": [[0.000, 0.000, 0.000], [0.791, 0.791, 0.791], [0.541, 0.541, 0.541], [0.189, 0.189, 0.189]]}

---

# 17
{"formula": "Rb2Tl4InAu3", "functional": "PBE", "state": "relaxed", "dft_energy_ev_per_atom": -2.534, "spacegroup": "P-4m2", "vol_a3_per_cell": 315.56, "lattice": [[5.260, 0.000, 0.000], [0.000, 5.260, 0.000], [0.000, 0.000, 11.404]], "species": ["Rb", "Rb", "Tl", "Tl", "Tl", "Tl", "In", "Au", "Au", "Au"], "frac_coords": [[0.000, 0.500, 0.249], [0.500, 0.000, 0.751], [0.000, 0.000, 0.500], [0.000, 0.500, 0.870], [0.500, 0.000, 0.130], [0.500, 0.500, 0.500], [0.500, 0.500, 0.000], [0.000, 0.000, 0.000], [0.000, 0.500, 0.617], [0.500, 0.000, 0.383]]}

---

# 18
{"formula": "RbTlIn2Au", "functional": "PBE", "state": "relaxed", "dft_energy_ev_per_atom": -2.408, "spacegroup": "P4/mmm", "vol_a3_per_cell": 177.51, "lattice": [[5.519, 0.000, 0.000], [0.000, 5.519, 0.000], [0.000, 0.000, 5.829]], "species": ["Rb", "Tl", "In", "In", "Au"], "frac_coords": [[0.000, 0.000, 0.000], [0.500, 0.500, 0.000], [0.000, 0.500, 0.500], [0.500, 0.000, 0.500], [0.500, 0.500, 0.500]]}

---

# 19
{"formula": "Rb2TlIn4Au3", "functional": "PBE", "state": "relaxed", "dft_energy_ev_per_atom": -2.728, "spacegroup": "P-4m2", "vol_a3_per_cell": 295.61, "lattice": [[5.146, 0.000, 0.000], [0.000, 5.146, 0.000], [0.000, 0.000, 11.162]], "species": ["Rb", "Rb", "Tl", "In", "In", "In", "In", "Au", "Au", "Au"], "frac_coords": [[0.000, 0.500, 0.248], [0.500, 0.000, 0.752], [0.500, 0.500, 0.000], [0.000, 0.000, 0.500], [0.000, 0.500, 0.864], [0.500, 0.000, 0.136], [0.500, 0.500, 0.500], [0.000, 0.000, 0.000], [0.000, 0.500, 0.613], [0.500, 0.000, 0.387]]}

---

# 20
{"formula": "Rb2TlInAu6", "functional": "PBE", "state": "relaxed", "dft_energy_ev_per_atom": -2.768, "spacegroup": "C2/m", "vol_a3_per_cell": 312.87, "lattice": [[5.329, -5.506, 0.000], [5.329, 5.506, 0.000], [-5.229, 0.000, 5.331]], "species": ["Rb", "Rb", "Tl", "In", "Au", "Au", "Au", "Au", "Au", "Au"], "frac_coords": [[0.210, 0.790, 0.000], [0.790, 0.210, 0.000], [0.000, 0.000, 0.500], [0.500, 0.500, 0.500], [0.254, 0.746, 0.500], [0.315, 0.315, 0.627], [0.317, 0.317, 0.004], [0.683, 0.683, 0.996], [0.685, 0.685, 0.373], [0.746, 0.254, 0.500]]}

---

# 21
{"formula": "RbTlIn2Au", "functional": "PBE", "state": "relaxed", "dft_energy_ev_per_atom": -1.353, "spacegroup": "P4/mmm", "vol_a3_per_cell": 267.01, "lattice": [[6.439, 0.000, 0.000], [0.000, 6.439, 0.000], [0.000, 0.000, 6.439]], "species": ["Rb", "Tl", "In", "In", "Au"], "frac_coords": [[0.000, 0.000, 0.000], [0.000, 0.000, 0.500], [0.000, 0.500, 0.000], [0.500, 0.000, 0.000], [0.500, 0.500, 0.500]]}

---

# 22
{"formula": "RbTl2InAu", "functional": "PBE", "state": "relaxed", "dft_energy_ev_per_atom": -2.321, "spacegroup": "P4/mmm", "vol_a3_per_cell": 182.28, "lattice": [[5.753, 0.000, 0.000], [0.000, 5.753, 0.000], [0.000, 0.000, 5.507]], "species": ["Rb", "Tl", "Tl", "In", "Au"], "frac_coords": [[0.000, 0.000, 0.000], [0.000, 0.500, 0.500], [0.500, 0.000, 0.500], [0.500, 0.500, 0.000], [0.500, 0.500, 0.500]]}

---

# 23
{"formula": "RbZnIn2Au", "functional": "PBE", "state": "relaxed", "dft_energy_ev_per_atom": -1.251, "spacegroup": "P4/mmm", "vol_a3_per_cell": 278.26, "lattice": [[6.761, 0.000, 0.000], [0.000, 6.761, 0.000], [0.000, 0.000, 6.087]], "species": ["Rb", "Zn", "In", "In", "Au"], "frac_coords": [[0.000, 0.000, 0.000], [0.500, 0.500, 0.500], [0.000, 0.500, 0.000], [0.500, 0.000, 0.000], [0.000, 0.000, 0.500]]}

---

# 24
{"formula": "Rb2ZnInAu", "functional": "PBE", "state": "relaxed", "dft_energy_ev_per_atom": -1.616, "spacegroup": "P4/mmm", "vol_a3_per_cell": 244.24, "lattice": [[7.013, 0.000, 0.000], [0.000, 7.013, 0.000], [0.000, 0.000, 4.966]], "species": ["Rb", "Rb", "Zn", "In", "Au"], "frac_coords": [[0.000, 0.500, 0.000], [0.500, 0.000, 0.000], [0.000, 0.000, 0.500], [0.000, 0.000, 0.000], [0.500, 0.500, 0.500]]}